# 1
Material: LiMnMo2
Method: DFT, PBE-GGA
State: optimized geometry

Unit cell a=2.6667 b=2.6667 c=8.3665 alpha=90.00 beta=90.00 gamma=90.00
Closest atoms and distances in Å follow each position.
Space group P4/mmm (No. 123)
Inequivalent atoms, fractional coordinates:
1 Li 0.0000 0.0000 0.0000 (multiplicity 1)  4 Li 2.67
2 Mn 0.0000 0.0000 0.5000 (multiplicity 1)  8 Mo 2.60, 4 Mn 2.67
3 Mo 0.5000 0.5000 0.2861 (multiplicity 2)  4 Mn 2.60, 4 Mo 2.67

Computed properties:
- Distance to the lowest polymorph of the same formula: 0.433 eV per formula unit
- Calculated volume: 14.874 A^3/atom
- Formation energy: 0.39 eV per atom
- Energy: -7.80 eV/atom


# 2
Material: PmNd2AgHg4
Method: DFT, PBE-GGA
State: optimized geometry

Unit cell a=5.1855 b=5.1855 c=27.1531 alpha=90.00 beta=90.00 gamma=120.00
Closest atoms and distances in Å follow each position.
Space group R-3m (No. 166, hexagonal axes)
Inequivalent atoms, fractional coordinates:
1 Pm 0.0000 0.0000 0.0000 (multiplicity 3)  8 Hg 3.18-3.39
2 Nd 0.0000 0.0000 0.2404 (multiplicity 6)  7 Hg 3.12-3.33
3 Ag 0.0000 0.0000 0.5000 (multiplicity 3)  8 Hg 3.20-3.45
4 Hg 0.0000 0.0000 0.1250 (multiplicity 6)  4 Nd 3.12-3.13, 3 Ag 3.20, 1 Pm 3.39
5 Hg 0.0000 0.0000 0.3729 (multiplicity 6)  3 Pm 3.18, 3 Nd 3.33, 1 Ag 3.45

Computed properties:
- Calculated volume: 26.346 A^3/atom
- Formation energy: -0.39 eV per atom
- Energy: -2.69 eV/atom


# 3
Material: TlH2F
Method: DFT, PBE-GGA
State: optimized geometry

Unit cell a=5.6690 b=5.6690 c=5.6690 alpha=90.00 beta=90.00 gamma=90.00
Closest atoms and distances in Å follow each position.
Space group Fm-3m (No. 225)
Inequivalent atoms, fractional coordinates:
1 Tl 0.0000 0.0000 0.0000 (multiplicity 4)  8 H 2.45
2 H 0.2500 0.2500 0.2500 (multiplicity 8)  4 Tl 2.45, 4 F 2.45
3 F 0.0000 0.0000 0.5000 (multiplicity 4)  8 H 2.45

Computed properties:
- Distance to the lowest polymorph of the same formula: 1.930 eV per formula unit
- Calculated volume: 11.387 A^3/atom
- Energy: -2.53 eV/atom